(1)
Below is an optimized crystal structure of Ba2CoHg, with properties calculated at the GGA-PBE level.

a = 4.7424 Å, b = 4.8109 Å, c = 6.6306 Å
α = 68.77°, β = 90.00°, γ = 90.00°
With the nearest neighbours (Å) after each atom.
Atoms (fractional coordinates):
Ba: 0.0000 0.9891 0.8968  2 Co 3.28, 4 Hg 3.53
Ba: 0.5000 0.2703 0.3345  3 Hg 3.44-3.72, 4 Co 3.60
Co: 0.0000 0.6694 0.5363  2 Hg 2.66
Hg: 0.5000 0.5713 0.7324  2 Co 2.66

Energy relative to the elements   0.06 eV per atom


(2)
Below is an optimized crystal structure of BaCoHg, with properties calculated at the GGA-PBE level.

a = 4.5710 Å, b = 4.5710 Å, c = 4.7009 Å
α = 90.00°, β = 90.00°, γ = 120.00°
With the nearest neighbours (Å) after each atom.
Atoms (fractional coordinates):
Hg: 0.3333 0.6667 0.5001  3 Co 2.64
Ba: 0.0000 0.0000 0.9999  6 Hg 3.53, 6 Co 3.53
Co: 0.6667 0.3333 0.5000  3 Hg 2.64

Energy relative to the elements   0.13 eV per atom


(3)
Below is an optimized crystal structure of BaCoHg, with properties calculated at the GGA-PBE level.

a = 5.4132 Å, b = 5.4132 Å, c = 5.4132 Å
α = 60.00°, β = 60.00°, γ = 60.00°
With the nearest neighbours (Å) after each atom.
Atoms (fractional coordinates):
Co: 0.0000 0.0000 0.0000  4 Ba 3.31
Ba: 0.7500 0.7500 0.7500  4 Co 3.31, 4 Hg 3.31
Hg: 0.5000 0.5000 0.5000  4 Ba 3.31

Energy relative to the elements   0.76 eV per atom


(4)
Below is an optimized crystal structure of BaCo2Hg, with properties calculated at the GGA-PBE level.

a = 5.4859 Å, b = 5.4859 Å, c = 5.4859 Å
α = 137.36°, β = 114.82°, γ = 81.06°
With the nearest neighbours (Å) after each atom.
Atoms (fractional coordinates):
Co: 0.7918 0.2918 0.5000  2 Co 2.23
Co: 0.9118 0.9118 0.0000  2 Co 2.23
Hg: 0.5616 0.5616 0.0000  3 Co 2.77-2.92
Ba: 0.2348 0.7348 0.5000  4 Hg 3.29-3.38, 8 Co 3.30-3.60

Energy relative to the elements   0.45 eV per atom


Question: Look up the energy relative to the elements of the third one.
Answer: 0.76 eV per atom